{"formula": "La2MnAgO5", "functional": "PBE with a Hubbard U", "state": "relaxed", "crystal_system": "tetragonal", "e_tot_ev_per_cell": -130.0, "lattice": [[-1.052, 5.276, 2.086], [-6.793, -1.048, -0.775], [-0.330, -2.598, 6.402]], "species": ["O", "O", "O", "O", "O", "O", "O", "O", "O", "O", "La", "La", "La", "La", "Mn", "Mn", "Ag", "Ag"], "fractional_positions": [[0.759, 0.132, 0.632], [0.241, 0.868, 0.368], [0.241, 0.368, 0.132], [0.759, 0.868, 0.368], [0.759, 0.632, 0.868], [0.241, 0.632, 0.868], [0.500, 0.500, 0.500], [0.241, 0.132, 0.632], [0.500, 0.000, 0.000], [0.759, 0.368, 0.132], [0.500, 0.819, 0.681], [0.500, 0.681, 0.181], [0.500, 0.181, 0.319], [0.500, 0.319, 0.819], [0.000, 0.500, 0.000], [0.000, 0.000, 0.500], [0.000, 0.000, 0.000], [0.000, 0.500, 0.500]]}